First-principles (GGA-PBE) data for crystalline Ce2PuGe at its relaxed geometry, as listed in Alexandria via LeMat-Bulk.

Lattice parameters (Å, degrees): 7.7330 7.7330 7.7330 31.31 31.31 31.31
Sites, in units of the cell vectors:
Ce  0.0000  0.0000  0.0000
Ce  0.1774  0.1774  0.1774
Pu  0.4468  0.4468  0.4468
Ge  0.5877  0.5877  0.5877

Results
The value obtained for the density of states at the Fermi level is 8.193 states/eV per cell. The calculation puts the formation energy at -0.12 eV/atom. For the energy relative to the lowest polymorph listed for this composition, the calculation gives 278.3 meV/atom. The volume is 27.71 A^3/atom.